The following is a GGA-PBE calculation of CdSbPb2 after structural relaxation, from Alexandria via LeMat-Bulk.

abc: 3.9334 4.3737 14.2605
angles: 90.00 90.30 90.00
Last column: nearest neighbours and their distance in Å.
Sites, in units of the cell vectors:
Cd1 0.2492 0.2500 0.0863  5 Sb 3.00-3.05
Cd2 0.7508 0.7500 0.9137  5 Sb 3.00-3.05
Sb1 0.2492 0.2500 0.8722  5 Cd 3.00-3.05, 2 Pb 3.23-3.24
Sb2 0.7508 0.7500 0.1278  5 Cd 3.00-3.05, 2 Pb 3.23-3.24
Pb1 0.2515 0.7500 0.5644  9 Pb 3.44-3.65
Pb2 0.2526 0.7500 0.3081  2 Sb 3.23-3.24, 4 Pb 3.44-3.47
Pb3 0.7474 0.2500 0.6919  2 Sb 3.23-3.24, 4 Pb 3.44-3.47
Pb4 0.7485 0.2500 0.4356  9 Pb 3.44-3.65

Values from the calculation:
formation energy from raw total energies = 1.4 kcal/mol of atoms